The following is a DFT calculation (GGA-PBE) of an optimized crystal structure of CuMoW2.

Computed properties:
Crystal system   tetragonal
DFT total energy   -9.93 eV/atom
Formation energy   273 meV/atom
Calculated volume   60.54 Å³/f.u.
Total magnetic moment   0.00 μB/atom

a b c (Å): 3.2353 3.2353 5.7838
angles (deg): 90.00 90.00 90.00
Last column: nearest neighbours and their distance in Å.
Space group P4mm (No. 99)
Symmetry-distinct sites (fractional):
Cu1 0.0000 0.0000 0.0000 (multiplicity 1)  6 W 2.66-2.89, 4 Mo 2.67
Mo1 0.5000 0.5000 0.2378 (multiplicity 1)  4 Cu 2.67, 5 W 2.73-2.75
W1 0.0000 0.0000 0.5001 (multiplicity 1)  4 Mo 2.75, 4 W 2.75, 2 Cu 2.89
W2 0.5000 0.5000 0.7652 (multiplicity 1)  4 Cu 2.66, 1 Mo 2.73, 4 W 2.75